Compound: Rb2Ba8MgSb6O2
Source: the Alexandria database
Functional: PBE-GGA
Structure: optimized geometry

Results
Its space-group type is P1, No. 1. The energy relative to the lowest polymorph listed for this composition is 0 meV per atom.

Geometry as POSCAR:
```
Rb2Ba8MgSb6O2
1.0
9.393 0.000 0.000
-1.162 9.702 0.000
-4.235 -4.397 8.046
Rb Ba Mg Sb O
2 8 1 6 2
direct
0.000 0.000 0.000 Rb
0.490 0.468 0.971 Rb
0.004 0.795 0.297 Ba
0.197 0.729 0.723 Ba
0.300 0.524 0.330 Ba
0.508 0.010 0.710 Ba
0.522 0.877 0.258 Ba
0.704 0.529 0.718 Ba
0.784 0.252 0.262 Ba
0.976 0.184 0.683 Ba
0.452 0.200 0.332 Mg
0.113 0.590 0.982 Sb
0.257 0.240 0.489 Sb
0.355 0.144 0.005 Sb
0.644 0.833 0.983 Sb
0.765 0.742 0.508 Sb
0.883 0.379 0.998 Sb
0.254 0.763 0.509 O
0.679 0.186 0.441 O
```